Nd4HoEr2Th (PBE, relaxed); DFT total energy = -4.991 eV/atom; formation energy = 0.03 eV per atom; calculated volume = 33.16 Å³ per atom
1.0
5.0945 0.0000 0.0000
0.0000 5.0945 0.0000
0.0000 0.0000 10.2200
Nd Ho Er Th
4 1 2 1
Direct
0.0000 0.5000 0.2490
0.0000 0.5000 0.7510
0.5000 0.0000 0.2490
0.5000 0.0000 0.7510
0.0000 0.0000 0.5000
0.0000 0.0000 0.0000
0.5000 0.5000 0.5000
0.5000 0.5000 0.0000



Ir2PbAu (PBE, relaxed); DFT total energy = -5.550 eV/atom; formation energy = 0.63 eV per atom; calculated volume = 20.30 Å³ per atom
1.0
-2.0523 2.0523 9.6374
2.0523 -2.0523 9.6374
2.0523 2.0523 -9.6374
Ir Pb Au
4 2 2
Direct
0.0529 0.6250 0.9279
0.3750 0.3029 0.4279
0.6971 0.1250 0.0721
0.8750 0.9471 0.5721
0.2500 0.7500 0.5000
0.5000 0.5000 0.0000
0.0000 0.0000 0.0000
0.7500 0.2500 0.5000



LaTmIn2 (PBE, relaxed); DFT total energy = -4.161 eV/atom; formation energy = -0.44 eV per atom; calculated volume = 28.24 Å³ per atom
1.0
4.9926 0.0000 0.0000
0.0000 4.9926 0.0000
0.0000 0.0000 4.5316
La Tm In
1 1 2
Direct
0.0000 0.0000 0.0000
0.5000 0.5000 0.0000
0.0000 0.5000 0.5000
0.5000 0.0000 0.5000



Pm4HoGa5 (PBE, relaxed); DFT total energy = -4.444 eV/atom; formation energy = -0.57 eV per atom; calculated volume = 24.20 Å³ per atom
1.0
3.6402 0.0000 0.0000
0.0000 3.6402 0.0000
0.0000 0.0000 18.2612
Pm Ho Ga
4 1 5
Direct
0.0000 0.0000 0.1015
0.0000 0.0000 0.3049
0.0000 0.0000 0.6951
0.0000 0.0000 0.8985
0.0000 0.0000 0.5000
0.5000 0.5000 0.0000
0.5000 0.5000 0.2033
0.5000 0.5000 0.4081
0.5000 0.5000 0.5919
0.5000 0.5000 0.7967



HoURh (PBE, relaxed); DFT total energy = -7.574 eV/atom; formation energy = 0.17 eV per atom; calculated volume = 22.37 Å³ per atom
1.0
0.0000 4.5274 9.2677
3.1995 0.0000 9.2677
3.1995 4.5274 0.0000
Ho U Rh
4 4 4
Direct
0.0393 0.0393 0.2107
0.2107 0.2107 0.0393
0.7893 0.7893 0.9607
0.9607 0.9607 0.7893
0.2836 0.2836 0.4664
0.4664 0.4664 0.2836
0.5336 0.5336 0.7164
0.7164 0.7164 0.5336
0.1550 0.5950 0.1550
0.4050 0.8450 0.4050
0.5950 0.1550 0.5950
0.8450 0.4050 0.8450



TlGaAgPt (PBE, relaxed); DFT total energy = -3.737 eV/atom; formation energy = -0.17 eV per atom; polymorph energy (0 for the lowest one) = 0 kJ/mol of formula units; calculated volume = 21.56 Å³ per atom
1.0
4.1478 0.0000 0.0000
0.0000 2.9401 0.0000
-1.9840 0.0000 7.0725
Tl Ga Ag Pt
1 1 1 1
Direct
0.0000 0.0000 0.0000
0.7077 0.5000 0.4164
0.3820 0.5000 0.7564
0.2022 0.0000 0.4053



BaMgNbN3 (PBE, relaxed); DFT total energy = -7.402 eV/atom; formation energy (no corrections) = -5.85 eV/f.u.; calculated volume = 15.12 Å³ per atom
1.0
2.9028 -5.4116 0.0000
2.9028 5.4116 0.0000
0.0000 0.0000 5.7741
Ba Mg Nb N
2 2 2 6
Direct
0.2410 0.7590 0.7500
0.7590 0.2410 0.2500
0.0643 0.9357 0.2500
0.9357 0.0643 0.7500
0.4414 0.5586 0.2500
0.5586 0.4414 0.7500
0.2592 0.2592 0.0000
0.2592 0.2592 0.5000
0.2646 0.7354 0.2500
0.7354 0.2646 0.7500
0.7408 0.7408 0.0000
0.7408 0.7408 0.5000



HfSb2Rh8 (PBE, relaxed); DFT total energy = -7.418 eV/atom; formation energy (no corrections) = -4.59 eV/f.u.; calculated volume = 16.35 Å³ per atom
1.0
-2.0363 3.5859 6.1595
2.0363 -3.5859 6.1595
2.0363 3.5859 -6.1595
Hf Sb Rh
1 2 8
Direct
0.0000 0.0000 0.0000
0.3255 0.3255 0.0000
0.6745 0.6745 0.0000
0.0951 0.8329 0.2621
0.1505 0.6505 0.5000
0.2770 0.5000 0.7770
0.4292 0.1671 0.2621
0.5708 0.8329 0.7379
0.7230 0.5000 0.2230
0.8495 0.3495 0.5000
0.9049 0.1671 0.7379



AcBeSnPd6 (PBE, relaxed); DFT total energy = -5.204 eV/atom; formation energy = -0.43 eV per atom; calculated volume = 18.46 Å³ per atom
1.0
-3.4401 4.2172 5.7270
3.4401 -4.2172 5.7270
3.4401 4.2172 -5.7270
Ac Be Sn Pd
2 2 2 12
Direct
0.4653 0.2153 0.2500
0.5347 0.7847 0.7500
0.0000 0.0000 0.0000
0.5000 0.0000 0.5000
0.0000 0.0000 0.5000
0.0000 0.5000 0.0000
0.1217 0.4020 0.2895
0.1217 0.8322 0.7197
0.1803 0.9303 0.2500
0.2563 0.5063 0.7500
0.3875 0.1678 0.7895
0.3875 0.5980 0.2197
0.6125 0.4020 0.7803
0.6125 0.8322 0.2105
0.7437 0.4937 0.2500
0.8197 0.0697 0.7500
0.8783 0.1678 0.2803
0.8783 0.5980 0.7105



Ca5P (PBE, relaxed); DFT total energy = -2.079 eV/atom; formation energy = 0.49 eV per atom; polymorph energy (0 for the lowest one) = 484 kJ/mol of formula units; calculated volume = 40.53 Å³ per atom
1.0
6.6468 0.0000 0.0000
-3.3234 5.7563 0.0000
0.0000 0.0000 6.3566
Ca P
5 1
Direct
0.0000 0.5000 0.0000
0.3333 0.6667 0.5000
0.5000 0.0000 0.0000
0.5000 0.5000 0.0000
0.6667 0.3333 0.5000
0.0000 0.0000 0.5000



MgMnZn2 (PBE, relaxed); DFT total energy = -3.290 eV/atom; formation energy = 0.04 eV per atom; calculated volume = 15.78 Å³ per atom
1.0
2.8723 0.0000 0.0000
0.0000 4.2377 0.0000
-1.4019 0.0000 5.1843
Mg Mn Zn
1 1 2
Direct
0.0000 0.0000 0.0000
0.6593 0.5000 0.3125
0.2575 0.0000 0.5079
0.3918 0.5000 0.7814



ErPaHgC (PBE, relaxed); DFT total energy = -6.252 eV/atom; formation energy = -0.36 eV per atom; calculated volume = 21.20 Å³ per atom
1.0
1.7546 1.0130 7.9519
-1.7546 1.0130 7.9519
0.0000 -2.0261 7.9519
Er Pa Hg C
1 1 1 1
Direct
0.0000 0.0000 0.0000
0.7818 0.7818 0.7818
0.2273 0.2273 0.2273
0.3932 0.3932 0.3932